(1)
Here is a relaxed structure of ScInMo2 from Alexandria. Energies are from PBEsol.

Cell lengths 3.502, 4.355, 9.195 Å; angles 90.00, 90.00, 90.00 degrees
Space group Immm (No. 71)
Asymmetric unit:
Sc (0.000, 0.000, 0.000)
In (0.000, 0.000, 0.500)
Mo (0.000, 0.500, 0.251)

Calculated values
Formation energy in eV per atom: 0.166

=====

(2)
Here is a relaxed structure of K2MnS2 from Alexandria. Energies are from PBEsol.

Cell lengths 6.800, 12.516, 6.167 Å; angles 90.00, 90.00, 90.00 degrees
Space group Ibam (No. 72)
Asymmetric unit:
K (0.160, 0.147, 0.000)
Mn (0.000, 0.500, 0.250)
S (0.194, 0.397, 0.000)

Calculated values
Energy relative to the elements, uncorrected in meV per atom: -922.2

=====

(3)
Here is a relaxed structure of BeZnCl2 from Alexandria. Energies are from PBEsol.

Cell lengths 3.2224, 3.2224, 23.4584 Å; angles 90.00, 90.00, 120.00 degrees
Space group R3m (No. 160, hexagonal axes)
Asymmetric unit:
Be (0.0000, 0.0000, 0.0000)
Zn (0.0000, 0.0000, 0.2540)
Cl (0.0000, 0.0000, 0.5216)
Cl (0.0000, 0.0000, 0.7151)

Calculated values
Energy relative to the elements, uncorrected in meV per atom: -596.2

=====

(4)
Here is a relaxed structure of YBeIn2 from Alexandria. Energies are from PBEsol.

Cell lengths 3.385, 4.387, 5.867 Å; angles 90.00, 94.67, 90.00 degrees
Space group P2/m (No. 10)
Asymmetric unit:
Y (0.000, 0.000, 0.000)
Be (0.500, 0.000, 0.500)
In (0.433, 0.500, 0.736)

Calculated values
Formation energy in eV per atom: -0.053

=====

(5)
Here is a relaxed structure of Sc2ReW from Alexandria. Energies are from PBEsol.

Cell lengths 2.730, 2.730, 9.253 Å; angles 90.00, 90.00, 90.00 degrees
Space group P4/mmm (No. 123)
Asymmetric unit:
Sc (0.000, 0.000, 0.247)
Re (0.500, 0.500, 0.000)
W (0.500, 0.500, 0.500)

Calculated values
Formation energy in eV per atom: 0.272

=====

(6)
Here is a relaxed structure of TcNi2 from Alexandria. Energies are from PBEsol.

Cell lengths 6.489, 6.489, 6.489 Å; angles 90.00, 90.00, 90.00 degrees
Space group Fd-3m (No. 227, origin choice 2)
Asymmetric unit:
Tc (0.125, 0.125, 0.125)
Ni (0.000, 0.000, 0.500)

Calculated values
Formation energy in eV per atom: 0.030

=====

Across the entries above, calculated total energy takes the values -64.9, -101.6, -35.9, -17.0, -39.3, -187.9 eV per cell, respectively.